Computed, not measured: a geometry-optimized RbEr2AgSe4 structure at the GGA-PBE level of DFT.

Its raw formation energy is -1443.6 meV/atom. The calculation puts the size of the total moment at 0.000 μB/atom. The value obtained for the electronic total energy is -153.7 eV per cell.

abc: 4.1998 14.2466 14.7938
angles: 90.00 90.00 90.00
Closest atoms and distances in Å follow each position.
Space group Cmcm (No. 63)
Unique sites:
Rb 0.0000 0.1203 0.2500 (multiplicity 4)  6 Se 3.28-3.49
Er 0.0000 0.3692 0.0670 (multiplicity 8)  6 Se 2.85-2.98
Ag 0.0000 0.1642 0.7500 (multiplicity 4)  4 Se 2.60-2.62
Se 0.0000 0.0000 0.0000 (multiplicity 4)  4 Er 2.98
Se 0.0000 0.2615 0.5993 (multiplicity 8)  1 Ag 2.62, 3 Er 2.85-2.90
Se 0.0000 0.4432 0.2500 (multiplicity 4)  2 Ag 2.60, 2 Er 2.91

Computed, not measured: a geometry-optimized SiRu2W structure at the GGA-PBE level of DFT.

Its raw formation energy is 121.8 meV/atom. The calculation puts the size of the total moment at 0.380 μB/atom. The value obtained for the electronic total energy is -145.8 eV per cell.

abc: 6.1151 6.1151 6.1151
angles: 90.00 90.00 90.00
Closest atoms and distances in Å follow each position.
Space group F-43m (No. 216)
Unique sites:
Si 0.0000 0.0000 0.0000 (multiplicity 4)  4 W 2.65, 4 Ru 2.65
Ru 0.0000 0.0000 0.5000 (multiplicity 4)  4 W 2.65, 4 Ru 2.65
Ru 0.2500 0.2500 0.2500 (multiplicity 4)  4 Ru 2.65, 4 Si 2.65
W 0.2500 0.2500 0.7500 (multiplicity 4)  4 Si 2.65, 4 Ru 2.65

Computed, not measured: a geometry-optimized Pt3Br structure at the GGA-PBE level of DFT.

Its raw formation energy is 448.0 meV/atom. The calculation puts the size of the total moment at 0.000 μB/atom. Its distance to the lowest polymorph of the same formula is 72 meV per atom. The value obtained for the electronic total energy is -36.0 eV per cell.

abc: 2.8514 5.0334 9.6380
angles: 90.00 90.00 90.00
Closest atoms and distances in Å follow each position.
Space group Cmmm (No. 65)
Unique sites:
Pt 0.0000 0.0000 0.0000 (multiplicity 2)  10 Pt 2.71-2.89
Pt 0.0000 0.5000 0.2387 (multiplicity 4)  8 Pt 2.71-2.89, 2 Br 2.89
Br 0.0000 0.0000 0.5000 (multiplicity 2)  6 Br 2.85-2.89, 4 Pt 2.89

Computed, not measured: a geometry-optimized LiHoAlTl structure at the GGA-PBE level of DFT.

As for the formation energy: -0.237 eV per atom. The calculation puts the size of the total moment at 0.000 μB/atom. The value obtained for the electronic total energy is -54.2 eV per cell.

abc: 7.1087 7.1087 7.1087
angles: 90.00 90.00 90.00
Closest atoms and distances in Å follow each position.
Space group F-43m (No. 216)
Unique sites:
Li 0.0000 0.0000 0.0000 (multiplicity 4)  4 Tl 3.08, 4 Al 3.08
Ho 0.0000 0.0000 0.5000 (multiplicity 4)  4 Tl 3.08, 4 Al 3.08
Al 0.2500 0.2500 0.2500 (multiplicity 4)  4 Li 3.08, 4 Ho 3.08
Tl 0.2500 0.2500 0.7500 (multiplicity 4)  4 Li 3.08, 4 Ho 3.08

Computed, not measured: a geometry-optimized Nb2Al2Ni structure at the GGA-PBE level of DFT.

As for the formation energy: -0.229 eV per atom. The calculation puts the size of the total moment at 0.000 μB/atom. The value obtained for the electronic total energy is -69.1 eV per cell.

abc: 6.1709 6.1709 4.1858
angles: 90.00 90.00 90.00
Closest atoms and distances in Å follow each position.
Space group P4/mbm (No. 127)
Unique sites:
Nb 0.1593 0.3407 0.0000 (multiplicity 4)  6 Al 2.70-2.82, 1 Nb 2.78
Al 0.1458 0.6458 0.5000 (multiplicity 4)  2 Ni 2.36, 1 Al 2.54
Ni 0.0000 0.0000 0.5000 (multiplicity 2)  4 Al 2.36

Computed, not measured: a geometry-optimized TlP2Au structure at the GGA-PBE level of DFT.

As for the formation energy: 0.650 eV per atom. The calculation puts the size of the total moment at 0.000 μB/atom. Its distance to the lowest polymorph of the same formula is 680 meV per atom. The value obtained for the electronic total energy is -13.9 eV per cell.

abc: 5.1488 5.1488 2.9587
angles: 90.00 90.00 90.00
Closest atoms and distances in Å follow each position.
Space group P4/mmm (No. 123)
Unique sites:
Tl 0.0000 0.0000 0.0000 (multiplicity 1)  2 Tl 2.96, 8 P 2.97
P 0.0000 0.5000 0.5000 (multiplicity 2)  2 P 2.96, 4 Tl 2.97, 4 Au 2.97
Au 0.5000 0.5000 0.0000 (multiplicity 1)  2 Au 2.96, 8 P 2.97

Computed, not measured: a geometry-optimized Ca2Pd2Pt structure at the GGA-PBE level of DFT.

As for the formation energy: -0.690 eV per atom. The calculation puts the size of the total moment at 0.000 μB/atom. Its distance to the lowest polymorph of the same formula is 64 meV per atom. The value obtained for the electronic total energy is -47.8 eV per cell.

abc: 7.0735 7.0735 4.1791
angles: 90.00 90.00 90.00
Closest atoms and distances in Å follow each position.
Space group P4/mbm (No. 127)
Unique sites:
Ca 0.1774 0.3226 0.0000 (multiplicity 4)  6 Pd 2.82-3.05
Pd 0.1338 0.6338 0.5000 (multiplicity 4)  1 Pd 2.68, 2 Pt 2.76, 2 Ca 2.82
Pt 0.0000 0.0000 0.5000 (multiplicity 2)  4 Pd 2.76

Computed, not measured: a geometry-optimized Pr8Tl2Ir structure at the GGA-PBE level of DFT.

As for the formation energy: -0.250 eV per atom. The calculation puts the size of the total moment at 0.000 μB/atom. Its distance to the lowest polymorph of the same formula is 10 meV per atom. The value obtained for the electronic total energy is -109.2 eV per cell.

abc: 9.2532 16.4603 6.1335
angles: 90.00 130.78 90.00
Closest atoms and distances in Å follow each position.
Space group Cm (No. 8)
Unique sites:
Pr 0.0000 0.0000 0.0000 (multiplicity 2)  1 Ir 2.82
Pr 0.0069 0.5000 0.6893 (multiplicity 2)  1 Ir 3.00
Pr 0.1414 0.3853 0.3232 (multiplicity 4)  1 Ir 2.88
Pr 0.1485 0.1166 0.7200 (multiplicity 4)  1 Ir 2.87
Pr 0.3673 0.3015 0.0040 (multiplicity 4)  4 Tl 3.41-3.59, 5 Pr 3.43-3.64, 1 Ir 3.75
Tl 0.3655 0.1995 0.4857 (multiplicity 4)  9 Pr 3.41-3.63
Ir 0.3687 0.5000 0.3059 (multiplicity 2)  6 Pr 2.82-3.00

Computed, not measured: a geometry-optimized SmH18Br3O18 structure at the GGA-PBE level of DFT.

The calculation puts the size of the total moment at 0.000 μB/atom. The value obtained for the electronic total energy is -390.1 eV per cell.

abc: 11.9364 11.9364 6.8057
angles: 90.00 90.00 120.00
Closest atoms and distances in Å follow each position.
Space group P6_3mc (No. 186)
Unique sites:
Sm 0.3333 0.6667 0.0000 (multiplicity 2)  9 O 2.45-2.51
H 0.1181 0.3713 0.0125 (multiplicity 12)  1 O 0.99
H 0.1277 0.4975 0.6852 (multiplicity 12)  1 O 0.99
H 0.1293 0.4987 0.3238 (multiplicity 12)  1 O 0.99
Br 0.1313 0.2627 0.5131 (multiplicity 6)  3 O 1.66-1.71
O 0.0684 0.3636 0.5065 (multiplicity 12)  1 Br 1.71, 2 H 1.84-1.87
O 0.0939 0.1879 0.2972 (multiplicity 6)  1 Br 1.66
O 0.1573 0.5786 0.7591 (multiplicity 6)  2 H 0.99
O 0.1581 0.5790 0.2478 (multiplicity 6)  2 H 0.99
O 0.2118 0.4236 0.9874 (multiplicity 6)  2 H 0.99

Computed, not measured: a geometry-optimized Fe2Re2Au structure at the GGA-PBE level of DFT.

As for the formation energy: 0.246 eV per atom. The calculation puts the size of the total moment at 0.000 μB/atom. The value obtained for the electronic total energy is -87.7 eV per cell.

abc: 7.2094 7.2094 2.6749
angles: 90.00 90.00 90.00
Closest atoms and distances in Å follow each position.
Space group P4/mbm (No. 127)
Unique sites:
Fe 0.1252 0.3748 0.0000 (multiplicity 4)  6 Re 2.49-2.53, 3 Fe 2.55-2.67
Re 0.1643 0.6643 0.5000 (multiplicity 4)  6 Fe 2.49-2.53, 2 Re 2.67
Au 0.0000 0.0000 0.0000 (multiplicity 2)  2 Au 2.67, 4 Fe 2.85

Computed, not measured: a geometry-optimized PaRhBr structure at the GGA-PBE level of DFT.

Its raw formation energy is -796.0 meV/atom. The calculation puts the size of the total moment at 0.000 μB/atom. The value obtained for the electronic total energy is -83.6 eV per cell.

abc: 5.5418 5.5091 11.1248
angles: 90.00 103.09 90.00
Closest atoms and distances in Å follow each position.
Space group C2/m (No. 12)
Unique sites:
Pa 0.2031 0.0000 0.3716 (multiplicity 4)  5 Rh 2.72-2.88, 1 Br 2.90
Rh 0.1905 0.5000 0.3630 (multiplicity 4)  1 Br 2.69, 5 Pa 2.72-2.88
Br 0.1776 0.0000 0.8549 (multiplicity 4)  1 Rh 2.69, 1 Pa 2.90

Computed, not measured: a geometry-optimized RbNiHg2Cl8 structure at the GGA-PBE level of DFT.

Its raw formation energy is -749.6 meV/atom. The calculation puts the size of the total moment at 0.091 μB/atom. The value obtained for the electronic total energy is -31.1 eV per cell.

abc: 6.4895 7.0794 8.8113
angles: 66.50 79.56 80.51
Closest atoms and distances in Å follow each position.
Space group P-1 (No. 2)
Unique sites:
Rb 0.0000 0.0000 0.0000 (multiplicity 1)  6 Cl 3.29-3.64
Ni 0.0000 0.0000 0.5000 (multiplicity 1)  4 Cl 2.22-2.25
Hg 0.4571 0.4352 0.2631 (multiplicity 2)  2 Cl 2.36-2.37
Cl 0.1082 0.7451 0.7309 (multiplicity 2)  1 Ni 2.25
Cl 0.2216 0.8593 0.3415 (multiplicity 2)  1 Ni 2.22
Cl 0.2800 0.2101 0.5112 (multiplicity 2)  1 Hg 2.36, 1 Ni 2.57
Cl 0.4402 0.2744 0.9768 (multiplicity 2)  1 Hg 2.37

> The highest electronic total energy belongs to which entry?

TlP2Au

> Among the records above, which one has the lowest electronic total energy?

SmH18Br3O18